VASP calculation (GGA-PBE) on crystalline Tm8Cd2Rh at its relaxed geometry. Values from VASP.

Geometry as Quantum ESPRESSO input:
```
&SYSTEM
  ibrav = 0, nat = 11, ntyp = 3
/
ATOMIC_SPECIES
Tm 168.93 Tm.upf
Cd 112.41 Cd.upf
Rh 102.91 Rh.upf
CELL_PARAMETERS angstrom
5.286 0.000 0.000
0.000 6.868 -0.026
-2.643 -2.985 8.074
ATOMIC_POSITIONS crystal
Tm 0.407 0.579 0.814
Tm 0.651 0.948 0.303
Tm 0.804 0.718 0.608
Tm 0.980 0.218 0.960
Tm 0.196 0.282 0.392
Tm 0.349 0.052 0.697
Tm 0.593 0.421 0.186
Tm 0.020 0.782 0.040
Cd 0.817 0.298 0.635
Cd 0.183 0.702 0.365
Rh 0.500 0.000 0.000
```

Computed properties:
* energy: -4.35 eV/atom
* crystal system: monoclinic

---

VASP calculation (GGA-PBE) on crystalline Tm6CdRh at its relaxed geometry. Values from VASP.

Geometry as Quantum ESPRESSO input:
```
&SYSTEM
  ibrav = 0, nat = 8, ntyp = 3
/
ATOMIC_SPECIES
Tm 168.93 Tm.upf
Cd 112.41 Cd.upf
Rh 102.91 Rh.upf
CELL_PARAMETERS angstrom
-3.159 5.119 -3.170
-0.435 0.044 -6.799
-6.493 -1.364 -2.993
ATOMIC_POSITIONS crystal
Tm 0.039 0.422 0.754
Tm 0.784 0.038 0.754
Tm 0.578 0.215 0.246
Tm 0.216 0.962 0.246
Tm 0.961 0.578 0.246
Tm 0.422 0.785 0.754
Cd 0.500 0.500 0.500
Rh 0.000 0.000 0.000
```

Computed properties:
* energy: -4.46 eV/atom
* crystal system: triclinic

---

VASP calculation (GGA-PBE) on crystalline TmCd2Rh3 at its relaxed geometry. Values from VASP.

Geometry as Quantum ESPRESSO input:
```
&SYSTEM
  ibrav = 0, nat = 12, ntyp = 3
/
ATOMIC_SPECIES
Tm 168.93 Tm.upf
Cd 112.41 Cd.upf
Rh 102.91 Rh.upf
CELL_PARAMETERS angstrom
-3.560 -2.952 -0.014
3.618 -0.728 -2.788
5.021 -6.093 8.108
ATOMIC_POSITIONS crystal
Tm 0.333 0.667 0.668
Tm 0.667 0.333 0.332
Cd 0.000 0.000 0.500
Cd 0.333 0.667 0.164
Cd 0.667 0.333 0.836
Cd 0.000 0.000 0.000
Rh 0.333 0.667 0.417
Rh 0.667 0.333 0.084
Rh 0.000 0.000 0.752
Rh 0.000 0.000 0.248
Rh 0.333 0.667 0.916
Rh 0.667 0.333 0.583
```

Computed properties:
* energy: -5.18 eV/atom
* crystal system: trigonal

---

| no. | calculated volume (Å³/f.u.) |
| --- | --- |
| 1 | 292.68 |
| 2 | 246.23 |
| 3 | 104.84 |